[1]
Entry from the Alexandria database: a geometry-optimized La5Mn structure (PBE).

Symmetry = P-6m2
Energy of formation = 0.218 eV/atom

Geometry as POSCAR:
```
La5Mn
1.0
3.681 0.000 0.000
-1.840 3.187 0.000
0.000 0.000 17.235
La Mn
5 1
direct
0.000 0.000 0.000 La
0.000 0.000 0.365 La
0.000 0.000 0.635 La
0.667 0.333 0.179 La
0.667 0.333 0.821 La
0.667 0.333 0.500 Mn
```



[2]
Entry from the Alexandria database: a geometry-optimized CaMgSnHg structure (PBE).

Symmetry = F-43m
Energy of formation = -0.446 eV/atom

Geometry as POSCAR:
```
CaMgSnHg
1.0
0.000 3.702 3.702
3.702 0.000 3.702
3.702 3.702 0.000
Ca Mg Sn Hg
1 1 1 1
direct
0.000 0.000 0.000 Ca
0.500 0.500 0.500 Mg
0.250 0.250 0.250 Sn
0.750 0.750 0.750 Hg
```



[3]
Entry from the Alexandria database: a geometry-optimized ZrMnFe structure (PBE).

Symmetry = I4mm
Energy of formation = 0.094 eV/atom

Geometry as POSCAR:
```
ZrMnFe
1.0
-1.458 1.458 5.292
1.458 -1.458 5.292
1.458 1.458 -5.292
Zr Mn Fe
1 1 1
direct
0.000 0.000 0.000 Zr
0.694 0.694 0.000 Mn
0.306 0.306 0.000 Fe
```